1.
The following is a DFT calculation (PBE) of NdDyCdIn after structural relaxation.

a = 5.3905 Å, b = 5.3905 Å, c = 5.3905 Å
α = 60.00°, β = 60.00°, γ = 60.00°
Positions (direct):
1 Nd 0.0000 0.0000 0.0000
2 Dy 0.5000 0.5000 0.5000
3 Cd 0.2500 0.2500 0.2500
4 In 0.7500 0.7500 0.7500

* formation energy from the elements: -0.4080 eV/atom


2.
The following is a DFT calculation (PBE) of NdMgBi after structural relaxation.

a = 6.4038 Å, b = 6.4038 Å, c = 6.4038 Å
α = 144.67°, β = 144.67°, γ = 50.83°
Positions (direct):
1 Nd 0.0000 0.0000 0.0000
2 Mg 0.6822 0.6822 0.0000
3 Bi 0.3124 0.3124 0.0000

* energy above the lowest structure with this stoichiometry: 0.135 eV/atom
* formation energy from the elements: -0.3164 eV/atom


3.
The following is a DFT calculation (PBE) of LiY2Tm after structural relaxation.

a = 12.2964 Å, b = 12.2964 Å, c = 12.2964 Å
α = 16.15°, β = 16.15°, γ = 16.15°
Positions (direct):
1 Li 0.0000 0.0000 0.0000
2 Y 0.0891 0.0891 0.0891
3 Y 0.9109 0.9109 0.9109
4 Tm 0.5000 0.5000 0.5000

* energy above the lowest structure with this stoichiometry: 0.118 eV/atom
* formation energy from the elements: 0.1819 eV/atom


4.
The following is a DFT calculation (PBE) of YEr2Zn4 after structural relaxation.

a = 6.0472 Å, b = 6.0472 Å, c = 6.0472 Å
α = 109.10°, β = 109.10°, γ = 110.22°
Positions (direct):
1 Y 0.0000 0.0000 0.0000
2 Er 0.0000 0.5000 0.5000
3 Er 0.5000 0.0000 0.5000
4 Zn 0.0000 0.0000 0.5000
5 Zn 0.0000 0.5000 0.0000
6 Zn 0.5000 0.0000 0.0000
7 Zn 0.5000 0.5000 0.5000

* formation energy from the elements: -0.1794 eV/atom


5.
The following is a DFT calculation (PBE) of Ca2CdBr6 after structural relaxation.

a = 7.7558 Å, b = 7.7558 Å, c = 10.6473 Å
α = 107.64°, β = 107.64°, γ = 31.57°
Positions (direct):
1 Ca 0.1658 0.1658 0.3290
2 Ca 0.8342 0.8342 0.6710
3 Cd 0.5000 0.5000 0.0000
4 Br 0.1351 0.1351 0.0430
5 Br 0.1925 0.1925 0.6138
6 Br 0.4763 0.4763 0.7268
7 Br 0.5237 0.5237 0.2732
8 Br 0.8075 0.8075 0.3862
9 Br 0.8649 0.8649 0.9570

* energy relative to the elements, uncorrected: -1.64 eV per atom
* energy above the lowest structure with this stoichiometry: 0.000 eV/atom


6.
The following is a DFT calculation (PBE) of HfSc2MnN4 after structural relaxation.

a = 5.3449 Å, b = 3.1420 Å, c = 5.4287 Å
α = 90.00°, β = 109.81°, γ = 90.00°
Positions (direct):
1 Hf 0.0000 0.0000 0.0000
2 Sc 0.0000 0.5000 0.5000
3 Sc 0.5000 0.0000 0.5000
4 Mn 0.5000 0.5000 0.0000
5 N 0.2495 0.5000 0.2455
6 N 0.2602 0.0000 0.7621
7 N 0.7398 0.0000 0.2379
8 N 0.7505 0.5000 0.7545

* energy relative to the elements, uncorrected: -1.44 eV per atom


7.
The following is a DFT calculation (PBE) of MnBAu after structural relaxation.

a = 2.8922 Å, b = 4.5085 Å, c = 2.8922 Å
α = 90.00°, β = 90.00°, γ = 90.00°
Positions (direct):
1 Mn 0.0000 0.0000 0.0000
2 B 0.5000 0.0000 0.4997
3 Au 0.5000 0.5000 0.4834

* formation energy from the elements: 0.1124 eV/atom


8.
The following is a DFT calculation (PBE) of FeRu2Cl after structural relaxation.

a = 2.8256 Å, b = 2.8256 Å, c = 8.4113 Å
α = 90.00°, β = 90.00°, γ = 119.50°
Positions (direct):
1 Fe 0.0000 0.0000 0.0000
2 Ru 0.5000 0.5000 0.2432
3 Ru 0.5000 0.5000 0.7568
4 Cl 0.0000 0.0000 0.5000

* energy relative to the elements, uncorrected: 0.58 eV per atom
* energy above the lowest structure with this stoichiometry: 0.273 eV/atom


9.
The following is a DFT calculation (PBE) of Li2TmCd8 after structural relaxation.

a = 8.0459 Å, b = 8.0459 Å, c = 6.9139 Å
α = 104.75°, β = 104.75°, γ = 33.50°
Positions (direct):
1 Li 0.2380 0.2380 0.1512
2 Li 0.7620 0.7620 0.8488
3 Tm 0.5000 0.5000 0.5000
4 Cd 0.0522 0.0522 0.2316
5 Cd 0.1385 0.1385 0.7100
6 Cd 0.3109 0.3109 0.5961
7 Cd 0.4030 0.4030 0.0277
8 Cd 0.5970 0.5970 0.9723
9 Cd 0.6891 0.6891 0.4039
10 Cd 0.8615 0.8615 0.2900
11 Cd 0.9478 0.9478 0.7684

* formation energy from the elements: -0.1724 eV/atom


10.
The following is a DFT calculation (PBE) of CuAgBiPd after structural relaxation.

a = 4.7058 Å, b = 4.7058 Å, c = 4.7058 Å
α = 60.00°, β = 60.00°, γ = 60.00°
Positions (direct):
1 Cu 0.0000 0.0000 0.0000
2 Ag 0.7500 0.7500 0.7500
3 Bi 0.2500 0.2500 0.2500
4 Pd 0.5000 0.5000 0.5000

* formation energy from the elements: -0.0089 eV/atom


11.
The following is a DFT calculation (PBE) of ScCrSnHg2 after structural relaxation.

a = 5.4252 Å, b = 5.4252 Å, c = 5.4941 Å
α = 90.00°, β = 90.00°, γ = 90.00°
Positions (direct):
1 Sc 0.0000 0.0000 0.0000
2 Cr 0.5000 0.5000 0.0000
3 Sn 0.0000 0.0000 0.5000
4 Hg 0.0000 0.5000 0.5000
5 Hg 0.5000 0.0000 0.5000

* formation energy from the elements: 0.8335 eV/atom


12.
The following is a DFT calculation (PBE) of PbIF after structural relaxation.

a = 4.2262 Å, b = 4.2262 Å, c = 9.8928 Å
α = 90.00°, β = 90.00°, γ = 90.00°
Positions (direct):
1 Pb 0.2500 0.2500 0.1504
2 Pb 0.7500 0.7500 0.8496
3 I 0.2500 0.2500 0.6849
4 I 0.7500 0.7500 0.3151
5 F 0.2500 0.7500 0.0000
6 F 0.7500 0.2500 0.0000

* energy relative to the elements, uncorrected: -1.51 eV per atom
* energy above the lowest structure with this stoichiometry: 0.000 eV/atom


Number 1: uncorrected energy -14.7 eV/cell. Number 2: uncorrected energy -11.2 eV/cell. Number 3: uncorrected energy -18.6 eV/cell. Number 4: uncorrected energy -21.9 eV/cell. Number 5: uncorrected energy -29.7 eV/cell. Number 6: uncorrected energy -76.6 eV/cell. Number 7: uncorrected energy -18.8 eV/cell. Number 8: uncorrected energy -26.6 eV/cell. Number 9: uncorrected energy -17.5 eV/cell. Number 10: uncorrected energy -16.1 eV/cell. Number 11: uncorrected energy -16.4 eV/cell. Number 12: uncorrected energy -23.3 eV/cell.